The following is a PBE+U calculation of a relaxed structure of UMn2CoO6, from Alexandria via LeMat-Bulk.

Total moment ... 1.300 μB/atom
E_tot ... -0.3012 Ha/atom

a b c (Å): 5.408 5.543 8.113
angles (deg): 90.00 90.70 90.00
Last column: magnetic moment on the atom in μB.
Sites, in units of the cell vectors:
U 0.500 0.000 0.000  0.27
U 0.000 0.500 0.500  0.27
Mn 0.010 0.953 0.240  4.62
Mn 0.510 0.547 0.740  4.62
Mn 0.990 0.047 0.760  4.62
Mn 0.490 0.453 0.260  4.62
Co 0.500 0.000 0.500  2.72
Co 0.000 0.500 0.000  2.72
O 0.319 0.691 0.083  0.05
O 0.819 0.809 0.583  0.05
O 0.681 0.309 0.917  0.05
O 0.181 0.191 0.417  0.05
O 0.322 0.686 0.441  0.06
O 0.822 0.814 0.941  0.06
O 0.678 0.314 0.559  0.06
O 0.178 0.186 0.059  0.06
O 0.868 0.583 0.258  0.04
O 0.368 0.917 0.758  0.04
O 0.132 0.417 0.742  0.04
O 0.632 0.083 0.242  0.04